18
Lattice="8.7530 0.0000 0.0000 0.0000 8.7530 0.0000 -4.3765 -4.3765 7.5188" Properties=species:S:1:pos:R:3 comment="Tb2PmSmEr5 PBE relaxed" sg="I4/mcm (140)" formation_enthalpy_0k_mev_per_atom=278 dos_at_fermi_per_ev_cell=20.6 pbc="T T T"
Er 2.5764 1.8001 2.0199
Er 1.8001 6.1767 2.0199
Er 0.0000 0.0000 0.0000
Er -1.8001 -2.5764 5.4989
Er 1.8001 2.5764 5.4989
Er 2.5764 -1.8001 5.4989
Er 6.1767 6.9529 2.0199
Er -2.5764 1.8001 5.4989
Er 6.9529 2.5764 2.0199
Er 4.3765 4.3765 0.0000
Sm 0.0000 4.3765 3.7594
Sm 4.3765 0.0000 3.7594
Tb 7.7426 5.3869 0.0000
Tb 3.3661 7.7426 0.0000
Tb 1.0104 3.3661 0.0000
Tb 5.3869 1.0104 0.0000
Pm 4.3765 4.3765 3.7594
Pm 0.0000 0.0000 3.7594



4
Lattice="-1.5292 -2.3407 2.0389 1.6622 -2.9187 0.8326 3.9466 2.7928 9.1027" Properties=species:S:1:pos:R:3 comment="Pr2PdCl PBE relaxed" sg="R-3m (166)" e_form_raw_ev_per_atom=-0.58 dos_at_fermi_per_ev_cell=2.8 pbc="T T T"
Cl 2.0398 -1.2333 5.9871
Pr 2.9045 1.5788 6.9275
Pr 1.1751 -4.0454 5.0467
Pd 0.0000 0.0000 0.0000



4
Lattice="4.2198 0.0075 0.0089 2.1034 3.6582 0.0089 2.0945 1.2142 5.8149" Properties=species:S:1:pos:R:3 comment="BaNi2W PBE relaxed" sg="R-3m (166)" formation_enthalpy_0k_mev_per_atom=264 dos_at_fermi_per_ev_cell=3.4 pbc="T T T"
Ba 2.1044 1.2200 1.4582
Ni 2.0969 1.2156 4.7275
Ni 4.2064 2.4386 4.0038
W 6.3133 3.6600 4.3745



12
Lattice="-4.5265 -3.5682 1.0445 0.9511 -5.4570 1.9048 -1.5388 0.0343 9.8733" Properties=species:S:1:pos:R:3 comment="SrCa3Ag8 PBE relaxed" sg="R3m (160)" formation_enthalpy_0k_mev_per_atom=-236 dos_at_fermi_per_ev_cell=9.8 pbc="T T T"
Ag -1.3760 -6.6809 4.0642
Ag -4.4133 -8.4344 9.5815
Ag -3.9005 -6.1743 11.2791
Ag -4.8907 -5.6951 8.6254
Ag -2.1410 -6.6432 9.0572
Ag -1.8516 -3.9522 3.1117
Ag -1.3440 -1.6740 4.8821
Ag -4.1150 -5.7364 3.6340
Ca -1.5361 0.0101 9.8027
Ca -2.6882 -3.3460 9.7698
Ca -2.5592 -4.4770 6.4653
Sr -3.7054 -7.8853 6.2801



8
Lattice="-3.5814 1.3130 1.3952 -0.2740 -3.2784 2.3820 3.6596 4.9290 10.6676" Properties=species:S:1:pos:R:3 comment="ScSb2S PBE relaxed" sg="I-42d (122)" e_form_raw_ev_per_atom=-0.42 dos_at_fermi_per_ev_cell=4.6 pbc="T T T"
Sc -0.9247 2.6297 6.9757
Sc 0.0000 0.0000 0.0000
Sb -0.6309 1.9506 11.3250
Sb -1.3867 1.6537 3.8479
Sb 1.3012 2.9863 9.3979
Sb 0.3250 -0.6632 4.3188
S 0.7290 0.3340 7.4691
S -1.9277 -0.9827 1.8886



5
Lattice="5.0386 0.0000 0.0000 0.0000 5.0386 0.0000 0.0000 0.0000 5.0386" Properties=species:S:1:pos:R:3 comment="RbH3Se PBE relaxed" sg="Pm-3m (221)" e_tot_ev_per_atom=-1.645 dos_at_fermi_per_ev_cell=1.7 pbc="T T T"
H 0.0000 2.5193 0.0000
H 2.5193 0.0000 0.0000
H 0.0000 0.0000 2.5193
Rb 0.0000 0.0000 0.0000
Se 2.5193 2.5193 2.5193



12
Lattice="-6.7742 -2.7446 3.2612 5.1684 0.9330 6.0395 -1.3745 7.3171 -3.7775" Properties=species:S:1:pos:R:3 comment="YHoBi PBE relaxed" sg="Fddd (70)" formation_enthalpy_0k_mev_per_atom=-225 dos_at_fermi_per_ev_cell=14.5 pbc="T T T"
Y -0.0551 0.9303 6.3784
Y -2.6393 0.4638 3.3587
Y -3.3266 4.1224 1.4699
Y 0.0605 5.4947 -0.1607
Bi 2.8983 0.2340 5.5114
Bi -0.7746 2.9731 2.9280
Bi -4.5041 -2.0455 3.7893
Bi 3.7657 4.3713 3.9842
Ho 0.9153 5.3809 3.6888
Ho 2.0758 1.9635 3.2235
Ho -0.5803 1.7087 0.2326
Ho -2.4000 3.7969 5.2906



13
Lattice="6.2602 0.0000 2.2940 2.9971 8.0677 1.5100 0.3513 -0.1203 8.7300" Properties=species:S:1:pos:R:3 comment="LaTb7Dy5 PBE relaxed" sg="Imm2 (44)" formation_enthalpy_0k_mev_per_atom=241 dos_at_fermi_per_ev_cell=24.0 pbc="T T T"
Tb 2.1778 5.2156 3.7457
Tb 3.9894 1.0940 8.4908
Tb 4.1264 5.8239 8.1169
Tb 2.4455 1.8685 3.0152
Tb 1.2793 2.4350 6.1976
Tb 5.0214 3.3811 5.6745
Tb 5.7420 6.5181 3.7080
Dy 1.4174 3.7432 0.7114
Dy 0.1901 -0.0549 4.0605
Dy 3.4914 -0.0549 5.2703
Dy 7.2734 5.7779 9.2179
Dy 4.7187 3.7432 1.9212
La 6.1701 0.2460 2.5400



Q: Which formula does entry 3 have?
A: BaNi2W



Q: Which formula does entry 3 have?
A: BaNi2W